# CdCoH2Cl2O2

An optimized crystal structure of CdCoH2Cl2O2 (PBE with a Hubbard U, OQMD).

Results
DFT total energy: -34.43 eV/cell
SG: P3m1

Cell: 3.523 3.523 10.358 Å, 90.00 90.00 120.00°
Site moments in Bohr magnetons follow the coordinates.
Atoms (fractional coordinates):
Cd: 0.333 0.667 0.003  0.00
Cl: 0.333 0.667 0.362  0.09
Cl: 0.000 0.000 0.835  0.00
Co: 0.000 0.000 0.508  2.72
H: 0.667 0.333 0.189  0.00
H: 0.667 0.333 0.673  0.00
O: 0.667 0.333 0.094  0.00
O: 0.667 0.333 0.578  0.09